# 1
First-principles (SCAN) data for a PBEsol-optimized structure of CdIn2Ag, as listed in Alexandria.

## Properties
Total moment, Bohr magnetons per cell: 0.0
Space group: C2/m, No. 12
Energy relative to the elements, eV per atom: 0.044
Fermi-level density of states, states/eV per atom: 0.3069

a = 3.362 Å, b = 4.959 Å, c = 5.579 Å
α = 101.05°, β = 90.00°, γ = 109.82°
Element x y z (fractional)
In (0.756, 0.511, 0.763)
Cd (0.000, 0.000, 0.500)
In (0.244, 0.489, 0.237)
Ag (0.500, 0.000, 0.000)



# 2
First-principles (SCAN) data for a PBEsol-optimized structure of YZn2FeH, as listed in Alexandria.

## Properties
Total moment, Bohr magnetons per cell: 2.5
Space group: P4/mmm, No. 123
Raw total energy, eV/atom: -13.6614
Fermi-level density of states, states/eV per atom: 0.5675

a = 4.829 Å, b = 5.628 Å, c = 5.628 Å
α = 90.00°, β = 90.00°, γ = 90.00°
Last column: magnetic moment on the atom in μB.
Element x y z (fractional)
Zn (0.000, 0.000, 0.500)  -0.05
H (0.500, 0.500, 0.500)  0.30
Y (0.000, 0.000, 0.000)  -0.64
Zn (0.000, 0.500, 0.000)  -0.05
Fe (0.500, 0.000, 0.000)  2.88



# 3
First-principles (SCAN) data for a PBEsol-optimized structure of Be2TlP2, as listed in Alexandria.

## Properties
Total moment, Bohr magnetons per cell: 0.0
Space group: I4/mmm, No. 139
Energy relative to the elements, eV per atom: -0.142
Fermi-level density of states, states/eV per atom: 0.1892

a = 3.476 Å, b = 3.476 Å, c = 7.287 Å
α = 103.80°, β = 103.80°, γ = 90.00°
Element x y z (fractional)
Be (0.750, 0.250, 0.500)
Tl (0.000, 0.000, 0.000)
P (0.653, 0.653, 0.305)
Be (0.250, 0.750, 0.500)
P (0.347, 0.347, 0.695)



# 4
First-principles (SCAN) data for a PBEsol-optimized structure of BaNaO2F, as listed in Alexandria.

## Properties
Formation energy (no corrections), eV/atom: -1.935
Total moment, Bohr magnetons per cell: 2.0
Space group: P4/mmm, No. 123
Fermi-level density of states, states/eV per atom: 0.2462

a = 4.218 Å, b = 4.218 Å, c = 4.284 Å
α = 90.00°, β = 90.00°, γ = 90.00°
Last column: magnetic moment on the atom in μB.
Element x y z (fractional)
Na (0.000, 0.000, 0.000)  0.03
F (0.000, 0.000, 0.500)  0.04
O (0.500, 0.000, 0.000)  0.82
Ba (0.500, 0.500, 0.500)  -0.03
O (0.000, 0.500, 0.000)  0.82



# 5
First-principles (SCAN) data for a PBEsol-optimized structure of SbMoAs, as listed in Alexandria.

## Properties
Formation energy (no corrections), eV/atom: 0.308
Total moment, Bohr magnetons per cell: 1.8
Space group: F-43m, No. 216
ΔE to the lowest computed polymorph, eV/atom: 0.228
Fermi-level density of states, states/eV per atom: 0.4618

a = 4.480 Å, b = 4.480 Å, c = 4.480 Å
α = 60.00°, β = 60.00°, γ = 60.00°
Last column: magnetic moment on the atom in μB.
Element x y z (fractional)
Mo (0.250, 0.250, 0.250)  1.71
As (0.500, 0.500, 0.500)  -0.07
Sb (0.000, 0.000, 0.000)  -0.03



# 6
First-principles (SCAN) data for a PBEsol-optimized structure of BeBPb3, as listed in Alexandria.

## Properties
Total moment, Bohr magnetons per cell: 0.0
Space group: Pm-3m, No. 221
Energy relative to the elements, eV per atom: 1.184
Fermi-level density of states, states/eV per atom: 0.6450

a = 4.944 Å, b = 4.944 Å, c = 4.944 Å
α = 90.00°, β = 90.00°, γ = 90.00°
Element x y z (fractional)
Pb (0.000, 0.000, 0.500)
Pb (0.500, 0.000, 0.000)
B (0.500, 0.500, 0.500)
Pb (0.000, 0.500, 0.000)
Be (0.000, 0.000, 0.000)



# 7
First-principles (SCAN) data for a PBEsol-optimized structure of Zn2Te, as listed in Alexandria.

## Properties
Formation energy (no corrections), eV/atom: 0.050
Total moment, Bohr magnetons per cell: 0.0
Space group: P-3m1, No. 164
ΔE to the lowest computed polymorph, eV/atom: 0.054
Fermi-level density of states, states/eV per atom: 0.2792

a = 3.962 Å, b = 3.962 Å, c = 4.574 Å
α = 90.00°, β = 90.00°, γ = 120.00°
Element x y z (fractional)
Zn (0.667, 0.333, 0.649)
Zn (0.333, 0.667, 0.351)
Te (0.000, 0.000, 0.000)



# 8
First-principles (SCAN) data for a PBEsol-optimized structure of NdB2HF10, as listed in Alexandria.

## Properties
Total moment, Bohr magnetons per cell: 0.3
Space group: P2_1/m, No. 11
Raw total energy, eV/atom: -10.1694
Fermi-level density of states, states/eV per atom: 0.0000

a = 5.849 Å, b = 7.077 Å, c = 8.727 Å
α = 112.28°, β = 90.00°, γ = 90.00°
Last column: magnetic moment on the atom in μB.
Element x y z (fractional)
F (0.250, 0.432, 0.103)  0.00
F (0.750, 0.947, 0.748)  0.00
B (0.250, 0.577, 0.688)  0.00
Nd (0.750, 0.232, 0.659)  0.00
B (0.750, 0.738, 0.047)  0.00
F (0.446, 0.263, 0.860)  0.00
F (0.250, 0.672, 0.856)  0.04
F (0.054, 0.448, 0.632)  0.01
F (0.446, 0.448, 0.632)  0.01
F (0.250, 0.719, 0.609)  0.01
B (0.250, 0.262, 0.953)  0.00
Nd (0.250, 0.768, 0.341)  0.00
F (0.750, 0.918, 0.013)  0.00
F (0.750, 0.328, 0.144)  0.04
F (0.946, 0.552, 0.368)  0.01
F (0.500, 0.000, 0.500)  0.05
F (0.000, 0.000, 0.500)  0.05
F (0.554, 0.552, 0.368)  0.01
F (0.554, 0.737, 0.140)  0.00
F (0.054, 0.263, 0.860)  0.00
F (0.750, 0.568, 0.897)  0.00
H (0.250, 0.063, 0.142)  0.00
F (0.250, 0.082, 0.987)  0.00
B (0.750, 0.423, 0.312)  0.00
F (0.250, 0.053, 0.252)  0.00
F (0.750, 0.281, 0.391)  0.01
F (0.946, 0.737, 0.140)  0.00
H (0.750, 0.937, 0.858)  0.00



# 9
First-principles (SCAN) data for a PBEsol-optimized structure of In3OF, as listed in Alexandria.

## Properties
Formation energy (no corrections), eV/atom: -0.483
Total moment, Bohr magnetons per cell: 0.0
Space group: Pm-3m, No. 221
Fermi-level density of states, states/eV per atom: 0.3849

a = 4.811 Å, b = 4.811 Å, c = 4.811 Å
α = 90.00°, β = 90.00°, γ = 90.00°
Element x y z (fractional)
In (0.000, 0.500, 0.000)
In (0.500, 0.000, 0.000)
F (0.500, 0.500, 0.500)
In (0.000, 0.000, 0.500)
O (0.000, 0.000, 0.000)



# 10
First-principles (SCAN) data for a PBEsol-optimized structure of ZnAgTe, as listed in Alexandria.

## Properties
Formation energy (no corrections), eV/atom: 0.238
Total moment, Bohr magnetons per cell: 0.0
Space group: I4mm, No. 107
ΔE to the lowest computed polymorph, eV/atom: 0.169
Fermi-level density of states, states/eV per atom: 0.4638

a = 3.115 Å, b = 3.115 Å, c = 6.706 Å
α = 103.43°, β = 103.43°, γ = 90.00°
Element x y z (fractional)
Ag (0.976, 0.976, 0.953)
Te (0.669, 0.669, 0.337)
Zn (0.355, 0.355, 0.710)



# 11
First-principles (SCAN) data for a PBEsol-optimized structure of CoReTc, as listed in Alexandria.

## Properties
Total moment, Bohr magnetons per cell: 1.8
Space group: I4mm, No. 107
Energy relative to the elements, eV per atom: 0.072
ΔE to the lowest computed polymorph, eV/atom: 0.000
Fermi-level density of states, states/eV per atom: 0.5658

a = 3.091 Å, b = 3.091 Å, c = 4.662 Å
α = 109.36°, β = 109.36°, γ = 90.00°
Last column: magnetic moment on the atom in μB.
Element x y z (fractional)
Re (0.664, 0.664, 0.327)  0.03
Tc (0.335, 0.335, 0.670)  0.05
Co (0.002, 0.002, 0.003)  1.73



# 12
First-principles (SCAN) data for a PBEsol-optimized structure of ScIrRu2, as listed in Alexandria.

## Properties
Total moment, Bohr magnetons per cell: 3.6
Space group: F-43m, No. 216
Energy relative to the elements, eV per atom: -0.135
Fermi-level density of states, states/eV per atom: 1.0652

a = 4.391 Å, b = 4.391 Å, c = 4.391 Å
α = 60.00°, β = 60.00°, γ = 60.00°
Last column: magnetic moment on the atom in μB.
Element x y z (fractional)
Ru (0.000, 0.000, 0.000)  1.16
Ir (0.500, 0.500, 0.500)  0.67
Ru (0.750, 0.750, 0.750)  1.83
Sc (0.250, 0.250, 0.250)  -0.04



# 13
First-principles (SCAN) data for a PBEsol-optimized structure of Na3NiP, as listed in Alexandria.

## Properties
Total moment, Bohr magnetons per cell: 2.0
Space group: Pm-3m, No. 221
Energy relative to the elements, eV per atom: 0.726
Fermi-level density of states, states/eV per atom: 1.2000

a = 5.089 Å, b = 5.089 Å, c = 5.089 Å
α = 90.00°, β = 90.00°, γ = 90.00°
Last column: magnetic moment on the atom in μB.
Element x y z (fractional)
Na (0.500, 0.000, 0.000)  -0.01
Na (0.000, 0.000, 0.500)  -0.01
Na (0.000, 0.500, 0.000)  -0.01
Ni (0.000, 0.000, 0.000)  0.80
P (0.500, 0.500, 0.500)  0.56